Entry 1:
{"formula": "Rb2PbAu", "functional": "GGA-PBE", "state": "relaxed", "lattice_angstrom": [[4.053, 0.000, 0.000], [-2.026, 3.510, 0.000], [0.000, 0.000, 36.573]], "species": ["Rb", "Rb", "Rb", "Rb", "Rb", "Rb", "Pb", "Pb", "Pb", "Au", "Au", "Au"], "frac_coords": [[0.000, 0.000, 0.101], [0.000, 0.000, 0.899], [0.333, 0.667, 0.566], [0.333, 0.667, 0.768], [0.667, 0.333, 0.232], [0.667, 0.333, 0.434], [0.000, 0.000, 0.000], [0.333, 0.667, 0.667], [0.667, 0.333, 0.333], [0.000, 0.000, 0.500], [0.333, 0.667, 0.167], [0.667, 0.333, 0.833]], "sg": "R-3m (166)", "volume_a3_per_atom": 43.35}


Entry 2:
{"formula": "Rb12PbAu5", "functional": "GGA-PBE", "state": "relaxed", "lattice_angstrom": [[-5.757, 5.920, 6.388], [5.757, -5.920, 6.388], [5.757, 5.920, -6.388]], "species": ["Rb", "Rb", "Rb", "Rb", "Rb", "Rb", "Rb", "Rb", "Rb", "Rb", "Rb", "Rb", "Pb", "Au", "Au", "Au", "Au", "Au"], "frac_coords": [[0.064, 0.245, 0.819], [0.174, 0.283, 0.457], [0.174, 0.717, 0.890], [0.345, 0.023, 0.677], [0.345, 0.668, 0.323], [0.427, 0.245, 0.181], [0.573, 0.755, 0.819], [0.655, 0.332, 0.677], [0.655, 0.977, 0.323], [0.826, 0.283, 0.110], [0.826, 0.717, 0.543], [0.936, 0.755, 0.181], [0.500, 0.500, 0.000], [0.000, 0.000, 0.000], [0.115, 0.615, 0.500], [0.306, 0.000, 0.306], [0.694, 0.000, 0.694], [0.885, 0.385, 0.500]], "sg": "Immm (71)", "volume_a3_per_atom": 48.37}


| no. | calculated formation energy (eV per atom) |
| --- | --- |
| 1 | 0.097 |
| 2 | -0.185 |